*w*
VASP calculation (GGA-PBE) on LaReAg2 after structural relaxation.

Structure (POSCAR):
```
LaReAg2
1.0
5.0050 -1.4521 0.0000
5.0050 1.4521 0.0000
-0.7722 0.0000 5.5924
La Re Ag
1 1 2
direct
0.0000 0.0000 0.0000
0.7536 0.7536 0.2591
0.2393 0.2393 0.7016
0.4940 0.4940 0.4873
```

Computed properties:
Total moment: 0.0 μB per formula unit
N(E_F): 0.79 states/eV/atom

***

*x*
VASP calculation (GGA-PBE) on LaReAg2 after structural relaxation.

Structure (POSCAR):
```
LaReAg2
1.0
2.8288 0.0000 0.0000
0.0000 4.7686 0.0000
-1.3990 0.0000 6.0001
La Re Ag
1 1 2
direct
0.0000 0.0000 0.0000
0.6498 0.5000 0.2930
0.2507 0.0000 0.4880
0.3641 0.5000 0.7253
```

Computed properties:
Total moment: 0.1 μB per formula unit
N(E_F): 0.68 states/eV/atom

***

*y*
VASP calculation (GGA-PBE) on LaReAg2 after structural relaxation.

Structure (POSCAR):
```
LaReAg2
1.0
2.9297 0.0000 0.0000
0.0000 4.6286 0.0000
0.0000 0.0000 5.9282
La Re Ag
1 1 2
direct
0.0000 0.0000 0.0000
0.0000 0.0000 0.5000
0.5000 0.5000 0.2760
0.5000 0.5000 0.7240
```

Computed properties:
Total moment: 0.4 μB per formula unit
N(E_F): 1.37 states/eV/atom

***

Stability summary: most stable *x*, least stable *w*.

***

*w*
VASP calculation (GGA-PBE) on LaReAg2 after structural relaxation.

Structure (POSCAR):
```
LaReAg2
1.0
0.0000 3.4941 3.4941
3.4941 0.0000 3.4941
3.4941 3.4941 0.0000
La Re Ag
1 1 2
direct
0.0000 0.0000 0.0000
0.7500 0.7500 0.7500
0.2500 0.2500 0.2500
0.5000 0.5000 0.5000
```

Computed properties:
Total moment: 2.0 μB per formula unit
N(E_F): 1.29 states/eV/atom

***

*x*
VASP calculation (GGA-PBE) on LaReAg2 after structural relaxation.

Structure (POSCAR):
```
LaReAg2
1.0
1.6220 -2.4423 0.0000
1.6220 2.4423 0.0000
0.0000 0.0000 10.0196
La Re Ag
1 1 2
direct
0.0000 0.0000 0.0000
0.5000 0.5000 0.7587
0.0000 0.0000 0.5281
0.5000 0.5000 0.2921
```

Computed properties:
Total moment: 0.0 μB per formula unit
N(E_F): 0.62 states/eV/atom

***

Stability summary: most stable *x*, least stable *w*.

***

*w*
VASP calculation (GGA-PBE) on LaAg2Rh2 after structural relaxation.

Structure (POSCAR):
```
LaAg2Rh2
1.0
7.7589 0.0000 0.0000
0.0000 7.7589 0.0000
0.0000 0.0000 3.1915
La Ag Rh
2 4 4
direct
0.0000 0.0000 0.0000
0.5000 0.5000 0.0000
0.1243 0.3757 0.0000
0.3757 0.8757 0.0000
0.6243 0.1243 0.0000
0.8757 0.6243 0.0000
0.1733 0.6733 0.5000
0.3267 0.1733 0.5000
0.6733 0.8267 0.5000
0.8267 0.3267 0.5000
```

Computed properties:
Total moment: 0.0 μB per formula unit
N(E_F): 1.19 states/eV/atom

***

*x*
VASP calculation (GGA-PBE) on LaAg2Rh2 after structural relaxation.

Structure (POSCAR):
```
LaAg2Rh2
1.0
-2.0129 2.0129 6.2993
2.0129 -2.0129 6.2993
2.0129 2.0129 -6.2993
La Ag Rh
1 2 2
direct
0.0000 0.0000 0.0000
0.2500 0.7500 0.5000
0.7500 0.2500 0.5000
0.4012 0.4012 0.0000
0.5988 0.5988 0.0000
```

Computed properties:
Total moment: 0.6 μB per formula unit
N(E_F): 1.04 states/eV/atom

***

*y*
VASP calculation (GGA-PBE) on LaAg2Rh2 after structural relaxation.

Structure (POSCAR):
```
LaAg2Rh2
1.0
7.0219 0.0000 0.0000
0.0000 7.0219 0.0000
0.0000 0.0000 3.9811
La Ag Rh
2 4 4
direct
0.0000 0.0000 0.0000
0.5000 0.5000 0.0000
0.1524 0.3476 0.5000
0.3476 0.8476 0.5000
0.6524 0.1524 0.5000
0.8476 0.6524 0.5000
0.1385 0.6385 0.0000
0.3615 0.1385 0.0000
0.6385 0.8615 0.0000
0.8615 0.3615 0.0000
```

Computed properties:
Total moment: 0.0 μB per formula unit
N(E_F): 0.69 states/eV/atom

***

Stability summary: most stable *x*, least stable *w*.

***

*w*
VASP calculation (GGA-PBE) on LaAgRh3 after structural relaxation.

Structure (POSCAR):
```
LaAgRh3
1.0
4.8456 0.0000 0.0000
0.0000 4.8456 0.0000
0.0000 0.0000 4.8456
La Ag Rh
1 1 3
direct
0.0000 0.0000 0.0000
0.5000 0.5000 0.5000
0.0000 0.5000 0.5000
0.5000 0.0000 0.5000
0.5000 0.5000 0.0000
```

Computed properties:
Total moment: 0.5 μB per formula unit
N(E_F): 1.42 states/eV/atom

***

*x*
VASP calculation (GGA-PBE) on LaAgRh3 after structural relaxation.

Structure (POSCAR):
```
LaAgRh3
1.0
4.8722 0.0000 0.0000
0.0000 4.8722 0.0000
0.0000 0.0000 4.8722
La Ag Rh
1 1 3
direct
0.0000 0.0000 0.0000
0.5000 0.5000 0.5000
0.0000 0.0000 0.5000
0.0000 0.5000 0.0000
0.5000 0.0000 0.0000
```

Computed properties:
Total moment: 0.0 μB per formula unit
N(E_F): 0.73 states/eV/atom

***

Stability summary: most stable *w*, least stable *x*.

***

*w*
VASP calculation (GGA-PBE) on LaAg2Rh after structural relaxation.

Structure (POSCAR):
```
LaAg2Rh
1.0
-2.0254 2.0338 4.9317
2.0254 -2.0338 4.9317
2.0254 2.0338 -4.9317
La Ag Rh
1 2 1
direct
0.0000 0.0000 0.0000
0.2504 0.7504 0.5000
0.7496 0.2496 0.5000
0.5000 0.5000 0.0000
```

Computed properties:
Total moment: 0.0 μB per formula unit
N(E_F): 0.12 states/eV/atom

***

*x*
VASP calculation (GGA-PBE) on LaAg2Rh after structural relaxation.

Structure (POSCAR):
```
LaAg2Rh
1.0
4.0734 0.0000 0.0000
0.0000 4.0734 0.0000
0.0000 0.0000 4.9283
La Ag Rh
1 2 1
direct
0.0000 0.0000 0.0000
0.0000 0.5000 0.5000
0.5000 0.0000 0.5000
0.5000 0.5000 0.0000
```

Computed properties:
Total moment: 0.0 μB per formula unit
N(E_F): 0.29 states/eV/atom

***

Stability summary: most stable *w*, least stable *x*.

***

*w*
VASP calculation (GGA-PBE) on LaAg2Rh after structural relaxation.

Structure (POSCAR):
```
LaAg2Rh
1.0
0.0000 3.4878 3.4878
3.4878 0.0000 3.4878
3.4878 3.4878 0.0000
La Ag Rh
1 2 1
direct
0.0000 0.0000 0.0000
0.2500 0.2500 0.2500
0.7500 0.7500 0.7500
0.5000 0.5000 0.5000
```

Computed properties:
Total moment: 0.0 μB per formula unit
N(E_F): 0.80 states/eV/atom

***

*x*
VASP calculation (GGA-PBE) on LaAg2Rh after structural relaxation.

Structure (POSCAR):
```
LaAg2Rh
1.0
3.3771 0.0000 0.0000
0.0000 4.9438 0.0000
-1.5781 0.0000 5.0957
La Ag Rh
1 2 1
direct
0.0000 0.0000 0.0000
0.3448 0.5000 0.7211
0.6552 0.5000 0.2789
0.5000 0.0000 0.5000
```

Computed properties:
Total moment: 0.0 μB per formula unit
N(E_F): 0.41 states/eV/atom

***

Stability summary: most stable *x*, least stable *w*.

***

*w*
VASP calculation (GGA-PBE) on LaAg2Rh after structural relaxation.

Structure (POSCAR):
```
LaAg2Rh
1.0
3.9345 0.0000 0.0000
0.0000 3.9345 0.0000
0.0000 0.0000 5.5358
La Ag Rh
1 2 1
direct
0.0000 0.0000 0.0000
0.5000 0.5000 0.2634
0.5000 0.5000 0.7366
0.0000 0.0000 0.5000
```

Computed properties:
Total moment: 0.0 μB per formula unit
N(E_F): 0.46 states/eV/atom

***

*x*
VASP calculation (GGA-PBE) on LaAg2Rh after structural relaxation.

Structure (POSCAR):
```
LaAg2Rh
1.0
4.4834 0.0000 0.0000
0.0000 7.9924 0.0000
-2.2371 0.0000 4.8389
La Ag Rh
2 4 2
direct
0.0615 0.2500 0.1258
0.9385 0.7500 0.8742
0.3557 0.0519 0.7103
0.3557 0.4481 0.7103
0.6443 0.5519 0.2897
0.6443 0.9481 0.2897
0.2093 0.7500 0.4205
0.7907 0.2500 0.5795
```

Computed properties:
Total moment: 0.0 μB per formula unit
N(E_F): 0.60 states/eV/atom

***

Stability summary: most stable *x*, least stable *w*.

***

*w*
VASP calculation (GGA-PBE) on LaAg2Rh after structural relaxation.

Structure (POSCAR):
```
LaAg2Rh
1.0
3.9174 0.0000 0.0000
0.0000 1.9841 5.6083
0.0000 -1.9841 5.6083
La Ag Rh
1 2 1
direct
0.0000 0.0000 0.0000
0.0000 0.2722 0.2722
0.5000 0.7073 0.7073
0.5000 0.4473 0.4473
```

Computed properties:
Total moment: 0.0 μB per formula unit
N(E_F): 0.42 states/eV/atom

***

*x*
VASP calculation (GGA-PBE) on LaAg2Rh after structural relaxation.

Structure (POSCAR):
```
LaAg2Rh
1.0
-2.2189 2.2189 4.1948
2.2189 -2.2189 4.1948
2.2189 2.2189 -4.1948
La Ag Rh
1 2 1
direct
0.0000 0.0000 0.0000
0.5000 0.5000 0.0000
0.7500 0.2500 0.5000
0.2500 0.7500 0.5000
```

Computed properties:
Total moment: 0.0 μB per formula unit
N(E_F): 0.41 states/eV/atom

***

Stability summary: most stable *w*, least stable *x*.

***

*w*
VASP calculation (GGA-PBE) on LaAg2Rh after structural relaxation.

Structure (POSCAR):
```
LaAg2Rh
1.0
1.5137 0.8739 10.1894
-1.5137 0.8739 10.1894
0.0000 -1.7479 10.1894
La Ag Rh
1 2 1
direct
0.0000 0.0000 0.0000
0.2398 0.2398 0.2398
0.7602 0.7602 0.7602
0.5000 0.5000 0.5000
```

Computed properties:
Total moment: 1.4 μB per formula unit
N(E_F): 0.78 states/eV/atom

***

*x*
VASP calculation (GGA-PBE) on LaAg2Rh after structural relaxation.

Structure (POSCAR):
```
LaAg2Rh
1.0
-2.0070 2.0070 10.8527
2.0070 -2.0070 10.8527
2.0070 2.0070 -10.8527
La Ag Rh
2 4 2
direct
0.0000 0.0000 0.0000
0.7500 0.2500 0.5000
0.1472 0.6250 0.0222
0.3750 0.3972 0.5222
0.6028 0.1250 0.9778
0.8750 0.8528 0.4778
0.2500 0.7500 0.5000
0.5000 0.5000 0.0000
```

Computed properties:
Total moment: 0.0 μB per formula unit
N(E_F): 0.41 states/eV/atom

***

*y*
VASP calculation (GGA-PBE) on LaAg2Rh after structural relaxation.

Structure (POSCAR):
```
LaAg2Rh
1.0
0.0000 3.4821 3.4821
3.4821 0.0000 3.4821
3.4821 3.4821 0.0000
La Ag Rh
1 2 1
direct
0.0000 0.0000 0.0000
0.5000 0.5000 0.5000
0.7500 0.7500 0.7500
0.2500 0.2500 0.2500
```

Computed properties:
Total moment: 0.0 μB per formula unit
N(E_F): 0.63 states/eV/atom

***

*z*
VASP calculation (GGA-PBE) on LaAg2Rh after structural relaxation.

Structure (POSCAR):
```
LaAg2Rh
1.0
3.6729 0.0000 0.0000
0.0000 3.6729 0.0000
0.0000 0.0000 6.2463
La Ag Rh
1 2 1
direct
0.0000 0.0000 0.0000
0.0000 0.0000 0.4775
0.5000 0.5000 0.6750
0.5000 0.5000 0.2163
```

Computed properties:
Total moment: 0.0 μB per formula unit
N(E_F): 0.36 states/eV/atom

***

Stability summary: most stable *z*, least stable *w*.

***

*w*
VASP calculation (GGA-PBE) on La4AgRh after structural relaxation.

Structure (POSCAR):
```
La4AgRh
1.0
4.4928 -7.0661 0.0000
4.4928 7.0661 0.0000
-2.8217 0.0000 5.6371
La Ag Rh
8 2 2
direct
0.0721 0.6946 0.9211
0.2062 0.3505 0.6705
0.3054 0.9279 0.5789
0.3505 0.2062 0.1705
0.6495 0.7938 0.8295
0.6946 0.0721 0.4211
0.7938 0.6495 0.3295
0.9279 0.3054 0.0789
0.3820 0.6180 0.2500
0.6180 0.3820 0.7500
0.0056 0.9944 0.7500
0.9944 0.0056 0.2500
```

Computed properties:
Total moment: 0.0 μB per formula unit
N(E_F): 1.14 states/eV/atom

***

*x*
VASP calculation (GGA-PBE) on La4AgRh after structural relaxation.

Structure (POSCAR):
```
La4AgRh
1.0
0.0000 4.4246 4.4246
4.4246 0.0000 4.4246
4.4246 4.4246 0.0000
La Ag Rh
4 1 1
direct
0.1238 0.1238 0.1238
0.1238 0.1238 0.6287
0.1238 0.6287 0.1238
0.6287 0.1238 0.1238
0.5000 0.5000 0.5000
0.7500 0.7500 0.7500
```

Computed properties:
Total moment: 0.0 μB per formula unit
N(E_F): 1.71 states/eV/atom

***

Stability summary: most stable *w*, least stable *x*.

***

*w*
VASP calculation (GGA-PBE) on La2ZnAgRh after structural relaxation.

Structure (POSCAR):
```
La2ZnAgRh
1.0
5.4558 0.0000 0.0000
0.0000 5.4558 0.0000
0.0000 0.0000 4.8702
La Zn Ag Rh
2 1 1 1
direct
0.0000 0.5000 0.0000
0.5000 0.0000 0.0000
0.0000 0.0000 0.5000
0.5000 0.5000 0.5000
0.0000 0.0000 0.0000
```

Computed properties:
Total moment: 0.0 μB per formula unit
N(E_F): 0.53 states/eV/atom

***

*x*
VASP calculation (GGA-PBE) on La2ZnAgRh after structural relaxation.

Structure (POSCAR):
```
La2ZnAgRh
1.0
7.7777 0.0000 0.0000
0.0000 4.2987 0.0000
-2.6213 0.0000 7.4184
La Zn Ag Rh
4 2 2 2
direct
0.1291 0.2500 0.3543
0.2797 0.2500 0.9624
0.7203 0.7500 0.0376
0.8709 0.7500 0.6457
0.4491 0.7500 0.3399
0.5509 0.2500 0.6601
0.3334 0.7500 0.6648
0.6666 0.2500 0.3352
0.1244 0.7500 0.1062
0.8756 0.2500 0.8938
```

Computed properties:
Total moment: 0.0 μB per formula unit
N(E_F): 0.55 states/eV/atom

***

Stability summary: most stable *x*, least stable *w*.